Compound: NiSnS2O8
Source: the Alexandria database
Functional: PBE with a Hubbard U
Structure: relaxed

Unit cell a=4.8837 b=4.8837 c=7.4045 alpha=92.29 beta=92.29 gamma=65.07
Fractional coordinates of all 12 atoms:
1 Ni 0.0000 0.0000 0.0000
2 Sn 0.0000 0.0000 0.5000
3 S 0.3624 0.3624 0.2194
4 S 0.6376 0.6376 0.7806
5 O 0.2359 0.7020 0.2079
6 O 0.2410 0.2410 0.0693
7 O 0.2945 0.2945 0.4021
8 O 0.2980 0.7641 0.7921
9 O 0.7020 0.2359 0.2079
10 O 0.7055 0.7055 0.5979
11 O 0.7590 0.7590 0.9307
12 O 0.7641 0.2980 0.7921

Output
- crystal system = monoclinic
- calculated volume (Å³ per cell) = 160
- E (eV per cell) = -70.6